# GGA-PBE FeSnSb2H, optimized geometry
# final energy	-4.083	eV/atom
# ρ	6.24	g/cm3
data_FeSnSb2H
_chemical_formula_sum 'Fe1 Sn1 Sb2 H1'
_cell_length_a 5.688
_cell_length_b 5.688
_cell_length_c 3.445
_cell_angle_alpha 90.00
_cell_angle_beta 90.00
_cell_angle_gamma 90.00
_space_group_name_H-M_alt 'P 1'
_space_group_IT_number 1
_space_group_name_Hall 'P 1'
loop_
_atom_site_label
_atom_site_fract_x
_atom_site_fract_y
_atom_site_fract_z
Fe1 0.000 0.000 0.000
Sn1 0.500 0.500 0.500
Sb1 0.000 0.500 0.500
Sb2 0.500 0.000 0.500
H1 0.500 0.500 0.000

---

# GGA-PBE Sc2BiC, optimized geometry
# final energy	-6.857	eV/atom
# ρ	5.99	g/cm3
# formation enthalpy at 0 K	-0.415	eV/atom
data_Sc2BiC
_chemical_formula_sum 'Sc2 Bi1 C1'
_cell_length_a 8.563
_cell_length_b 8.563
_cell_length_c 8.563
_cell_angle_alpha 23.30
_cell_angle_beta 23.30
_cell_angle_gamma 23.30
_space_group_name_H-M_alt 'P 1'
_space_group_IT_number 1
_space_group_name_Hall 'P 1'
loop_
_atom_site_label
_atom_site_fract_x
_atom_site_fract_y
_atom_site_fract_z
Sc1 0.121 0.121 0.121
Sc2 0.879 0.879 0.879
Bi1 0.000 0.000 0.000
C1 0.500 0.500 0.500

---

# GGA-PBE TaNbPd2, optimized geometry
# final energy	-8.388	eV/atom
# ρ	12.29	g/cm3
# formation enthalpy at 0 K	-0.311	eV/atom
# distance to the lowest polymorph of the same formula	0	meV/atom
data_TaNbPd2
_chemical_formula_sum 'Ta1 Nb1 Pd2'
_cell_length_a 2.816
_cell_length_b 4.129
_cell_length_c 5.656
_cell_angle_alpha 90.00
_cell_angle_beta 90.00
_cell_angle_gamma 90.00
_space_group_name_H-M_alt 'P 1'
_space_group_IT_number 1
_space_group_name_Hall 'P 1'
loop_
_atom_site_label
_atom_site_fract_x
_atom_site_fract_y
_atom_site_fract_z
Ta1 0.000 0.000 0.000
Nb1 0.000 0.000 0.500
Pd1 0.500 0.500 0.249
Pd2 0.500 0.500 0.751

---

# GGA-PBE Ce2ZnPd3, optimized geometry
# final energy	-5.423	eV/atom
# ρ	8.89	g/cm3
# formation enthalpy at 0 K	-0.636	eV/atom
# distance to the lowest polymorph of the same formula	44	meV/atom
data_Ce2ZnPd3
_chemical_formula_sum 'Ce4 Zn2 Pd6'
_cell_length_a 9.124
_cell_length_b 8.595
_cell_length_c 5.735
_cell_angle_alpha 76.20
_cell_angle_beta 66.18
_cell_angle_gamma 37.62
_space_group_name_H-M_alt 'P 1'
_space_group_IT_number 1
_space_group_name_Hall 'P 1'
loop_
_atom_site_label
_atom_site_fract_x
_atom_site_fract_y
_atom_site_fract_z
Ce1 0.242 0.758 0.758
Ce2 0.250 0.250 0.250
Ce3 0.750 0.750 0.750
Ce4 0.758 0.242 0.242
Zn1 0.333 0.333 0.667
Zn2 0.667 0.667 0.333
Pd1 0.172 0.172 0.828
Pd2 0.174 0.652 0.348
Pd3 0.348 0.826 0.174
Pd4 0.652 0.174 0.826
Pd5 0.826 0.348 0.652
Pd6 0.828 0.828 0.172

---

Please write out number 1 again, unchanged.
# GGA-PBE FeSnSb2H, optimized geometry
# final energy	-4.083	eV/atom
# ρ	6.24	g/cm3
data_FeSnSb2H
_chemical_formula_sum 'Fe1 Sn1 Sb2 H1'
_cell_length_a 5.688
_cell_length_b 5.688
_cell_length_c 3.445
_cell_angle_alpha 90.00
_cell_angle_beta 90.00
_cell_angle_gamma 90.00
_space_group_name_H-M_alt 'P 1'
_space_group_IT_number 1
_space_group_name_Hall 'P 1'
loop_
_atom_site_label
_atom_site_fract_x
_atom_site_fract_y
_atom_site_fract_z
Fe1 0.000 0.000 0.000
Sn1 0.500 0.500 0.500
Sb1 0.000 0.500 0.500
Sb2 0.500 0.000 0.500
H1 0.500 0.500 0.000

---

Among the records above, which one has the highest final energy? FeSnSb2H